# Co2CuHg

Crystalline Co2CuHg at its relaxed geometry (PBE, Alexandria via LeMat-Bulk).

Calculated values
The space group is Cmmm, No. 65. The value obtained for the formation energy is 0.461 eV/atom. For the total magnetization, the calculation gives 3.2 Bohr magnetons per cell.

Structure (CIF):
```
data_Co2CuHg
_symmetry_space_group_name_H-M 'P 1'
_symmetry_Int_Tables_number 1
_symmetry_space_group_name_Hall 'P 1'
_cell_length_a 4.645
_cell_length_b 4.645
_cell_length_c 2.784
_cell_angle_alpha 90.00
_cell_angle_beta 90.00
_cell_angle_gamma 111.50
loop_
_atom_site_label
_atom_site_type_symbol
_atom_site_fract_x
_atom_site_fract_y
_atom_site_fract_z
Co1 Co 0.000 0.000 0.000
Co2 Co 0.500 0.500 0.000
Cu1 Cu 0.500 0.000 0.500
Hg1 Hg 0.000 0.500 0.500
```